A relaxed structure of NbReB2Se, computed with PBE-GGA.

As for the total magnetic moment: 0.00 μB/f.u. The value obtained for the raw formation energy is 1.1322 eV per atom. The calculation puts the density of states at the Fermi level at 1.575 states/eV/atom. For the volume, the calculation gives 81.0 Å³/cell.

The structure belongs to space group P4/mmm (No. 123); the cell edges are 4.0198, 4.0198 and 5.0141 Å and the angles 90.00°, 90.00° and 90.00°. The distinct sites, in fractional coordinates, are Nb at (0.0000, 0.0000, 0.0000), Re at (0.5000, 0.5000, 0.5000), B at (0.0000, 0.5000, 0.5000) and Se at (0.5000, 0.5000, 0.0000).